The following is a DFT calculation (PBE-GGA) of a geometry-optimized ScTiAs structure.

## Properties
M_tot   0.5 μB per formula unit
Energy   -7.1279 eV/atom
Formation enthalpy at 0 K   -0.836 eV/atom

Cell: 3.881 3.774 14.692 Å, 90.00 90.00 90.00°
Last column: magnetic moment on the atom in μB.
Positions (direct):
Sc  0.500  0.000  0.837  0.23
Sc  0.000  0.500  0.337  0.23
Ti  0.500  0.000  0.338  0.55
Ti  0.000  0.000  0.512  0.01
Ti  0.000  0.500  0.838  0.55
Sc  0.500  0.500  0.655  0.01
As  0.500  0.500  0.198  -0.01
As  0.000  0.000  0.698  -0.01
As  0.000  0.000  0.972  -0.01
Ti  0.500  0.500  0.012  0.01
As  0.500  0.500  0.472  -0.01
Sc  0.000  0.000  0.155  0.01

The following is a DFT calculation (PBE-GGA) of a geometry-optimized Sc5TiAs4 structure.

## Properties
M_tot   0.0 μB per formula unit
Energy   -6.7389 eV/atom
Formation enthalpy at 0 K   -0.924 eV/atom

Cell: 3.774 7.351 8.390 Å, 105.06 103.00 90.00°
Positions (direct):
As  0.003  0.248  0.007
Ti  0.500  0.000  0.000
As  0.997  0.752  0.993
As  0.333  0.907  0.667
Sc  0.500  0.500  0.000
As  0.667  0.093  0.333
Sc  0.166  0.834  0.331
Sc  0.834  0.166  0.669
Sc  0.172  0.351  0.343
Sc  0.828  0.649  0.657

The following is a DFT calculation (PBE-GGA) of a geometry-optimized ScTiAs structure.

## Properties
M_tot   0.0 μB per formula unit
Energy   -6.9650 eV/atom
Formation enthalpy at 0 K   -0.673 eV/atom

Cell: 3.455 3.471 9.292 Å, 90.00 94.66 90.00°
Positions (direct):
Ti  0.040  0.500  0.191
As  0.447  0.000  0.695
Sc  0.500  0.000  0.000
Ti  0.960  0.500  0.809
Sc  0.000  0.500  0.500
As  0.553  0.000  0.305

The following is a DFT calculation (PBE-GGA) of a geometry-optimized ScTiAs structure.

## Properties
M_tot   0.4 μB per formula unit
Energy   -7.1331 eV/atom
Formation enthalpy at 0 K   -0.841 eV/atom

Cell: 3.849 3.839 7.304 Å, 90.00 90.00 90.00°
Last column: magnetic moment on the atom in μB.
Positions (direct):
Ti  0.000  0.500  0.802  0.51
Ti  0.000  0.000  0.144  -0.05
Sc  0.500  0.500  0.431  0.00
As  0.500  0.500  0.064  0.00
As  0.000  0.000  0.519  -0.01
Sc  0.500  0.000  0.795  0.19

The following is a DFT calculation (PBE-GGA) of a geometry-optimized ScTiAs3 structure.

## Properties
Polymorph energy (0 for the lowest one)   0.00 kJ/mol of atoms
M_tot   0.0 μB per formula unit
Energy   -5.7950 eV/atom
Formation enthalpy at 0 K   -0.160 eV/atom

Cell: 4.852 4.852 4.852 Å, 90.00 90.00 90.00°
Positions (direct):
Sc  0.500  0.500  0.500
Ti  0.000  0.000  0.000
As  0.000  0.500  0.000
As  0.000  0.000  0.500
As  0.500  0.000  0.000

The following is a DFT calculation (PBE-GGA) of a geometry-optimized ScTiAs structure.

## Properties
M_tot   0.3 μB per formula unit
Energy   -6.9684 eV/atom
Formation enthalpy at 0 K   -0.676 eV/atom

Cell: 7.130 3.513 10.009 Å, 90.00 112.17 90.00°
Last column: magnetic moment on the atom in μB.
Positions (direct):
Ti  0.891  0.500  0.284  0.06
Ti  0.207  0.500  0.930  0.17
Sc  0.573  0.000  0.965  0.12
Ti  0.891  0.000  0.784  0.06
Sc  0.184  0.000  0.153  0.04
Ti  0.207  0.000  0.430  0.17
As  0.885  0.500  0.989  0.00
As  0.505  0.500  0.166  0.00
Sc  0.573  0.500  0.465  0.12
Sc  0.184  0.500  0.653  0.04
As  0.505  0.000  0.666  0.00
As  0.885  0.000  0.489  0.00

The following is a DFT calculation (PBE-GGA) of a geometry-optimized ScTiAs3 structure.

## Properties
Polymorph energy (0 for the lowest one)   56.68 kJ/mol of atoms
M_tot   0.1 μB per formula unit
Energy   -5.2075 eV/atom
Formation enthalpy at 0 K   0.428 eV/atom

Cell: 4.997 4.997 4.997 Å, 90.00 90.00 90.00°
Last column: magnetic moment on the atom in μB.
Positions (direct):
As  0.000  0.000  0.500  0.01
As  0.500  0.000  0.000  0.04
As  0.000  0.500  0.000  0.02
Ti  0.500  0.500  0.500  -0.29
Sc  0.000  0.000  0.000  0.01

The following is a DFT calculation (PBE-GGA) of a geometry-optimized ScTiAs structure.

## Properties
M_tot   0.0 μB per formula unit
Energy   -6.9038 eV/atom
Formation enthalpy at 0 K   -0.612 eV/atom

Cell: 3.896 7.801 8.478 Å, 92.09 103.28 90.00°
Positions (direct):
Sc  0.455  0.172  0.909
Sc  0.093  0.383  0.187
As  0.348  0.396  0.696
Sc  0.545  0.828  0.091
Sc  0.907  0.617  0.813
As  0.370  0.872  0.740
Ti  0.245  0.113  0.490
As  0.652  0.604  0.304
As  0.630  0.128  0.260
Ti  0.755  0.887  0.510
Ti  0.251  0.642  0.502
Ti  0.749  0.358  0.498